1.
Sm8SiRh3I4, optimized geometry, DFT PBE; VASP energy = -5.352 eV per atom; raw formation energy = -888 meV/atom; symmetry = R-3m, No. 166; magnetic moment = 0.000 μB/f.u.
1.0
-4.432 -4.806 5.295
-4.452 -3.840 -7.211
8.402 -0.433 -0.043
Sm I Rh Si
8 4 3 1
Cartesian
3.904 -4.165 -3.739
-4.386 -4.914 1.779
-0.153 -3.956 -3.718
-0.329 -5.123 1.758
-2.246 -2.594 -0.778
1.764 -6.485 -1.182
-2.441 -6.352 -1.125
1.959 -2.727 -0.835
0.000 0.000 0.000
-2.216 -2.403 2.647
4.201 -0.217 -0.022
1.985 -2.619 2.626
-0.241 -4.539 -0.980
-4.442 -4.323 -0.958
1.975 -2.136 -3.627
-2.226 -1.920 -3.606

***

2.
SiTeRhI2, optimized geometry, DFT PBE; VASP energy = -2.881 eV per atom; raw formation energy = 922 meV/atom; distance to the lowest polymorph of the same formula = 344 meV per atom; symmetry = P4/mmm, No. 123; magnetic moment = 2.203 μB/f.u.
1.0
-0.389 1.184 5.289
-5.290 1.073 -0.629
-1.165 -5.121 1.061
Rh Si Te I
1 1 1 2
Cartesian
-3.421 -1.432 2.861
0.000 0.000 0.000
-0.582 -2.561 0.530
-0.194 0.592 2.644
-2.645 0.536 -0.314